Density functional theory data (PBE) for NpTiOs after structural relaxation.

```
data_NpTiOs
_chemical_formula_sum 'Np8 Ti8 Os8'
_space_group_name_H-M_alt 'F m m m'
_space_group_IT_number 69
_space_group_name_Hall '-F 2 2'
_cell_length_a 5.755
_cell_length_b 6.934
_cell_length_c 11.317
_cell_angle_alpha 90.00
_cell_angle_beta 90.00
_cell_angle_gamma 90.00
loop_
_atom_site_label
_atom_site_fract_x
_atom_site_fract_y
_atom_site_fract_z
_atom_site_occupancy
Np1 0.000 0.170 0.000 1
Ti1 0.250 0.250 0.250 1
Os1 0.000 0.000 0.372 1
```

* total magnetic moment: 12.32 μB/cell
* energy relative to the elements: 170 meV per atom
* final energy: -252.438 eV per cell
* crystal system: orthorhombic